Computed, not measured: an optimized crystal structure of MgInAu4 at the GGA-PBE level of DFT.

a b c (Å): 3.931 3.931 8.465
angles (deg): 90.00 90.00 90.00
Atoms (fractional coordinates):
Mg1 0.000 0.000 0.000
In1 0.500 0.500 0.500
Au1 0.000 0.500 0.240
Au2 0.000 0.500 0.760
Au3 0.500 0.000 0.240
Au4 0.500 0.000 0.760

Summary:
Total magnetization = 0.00 μB per formula unit
Calculated total energy = -3.129 eV/atom
Formation energy = -1.33 eV/f.u.

---

Computed, not measured: an optimized crystal structure of HfSc2Tl at the GGA-PBE level of DFT.

a b c (Å): 10.210 10.210 10.210
angles (deg): 18.69 18.69 18.69
Atoms (fractional coordinates):
Hf1 0.000 0.000 0.000
Sc1 0.251 0.251 0.251
Sc2 0.415 0.415 0.415
Tl1 0.833 0.833 0.833

Summary:
Total magnetization = 0.00 μB per formula unit
Calculated total energy = -6.342 eV/atom
Formation energy = -0.39 eV/f.u.

---

Computed, not measured: an optimized crystal structure of TmZr2Al at the GGA-PBE level of DFT.

a b c (Å): 4.996 4.996 4.996
angles (deg): 60.00 60.00 60.00
Atoms (fractional coordinates):
Tm1 0.000 0.000 0.000
Zr1 0.250 0.250 0.250
Zr2 0.750 0.750 0.750
Al1 0.500 0.500 0.500

Summary:
Total magnetization = 0.00 μB per formula unit
Calculated total energy = -6.379 eV/atom
Formation energy = -0.21 eV/f.u.